A plane-wave DFT calculation with PBE was carried out for CeHf2Al after structural relaxation.

Summary:
crystal system	trigonal
excess energy over the best structure of this formula in the dataset	207.1	meV/atom
ΔH_f (0 K)	0.10	eV/atom
size of the total moment	0.00	μB per atom

Cell lengths 3.0412, 3.0412, 32.7028 Å; angles 90.00, 90.00, 120.00 degrees
Space group R-3m (No. 166, hexagonal axes)
Inequivalent atoms, fractional coordinates:
Ce 0.0000 0.0000 0.0000 [3 per cell]
Hf 0.0000 0.0000 0.0929 [6 per cell]
Al 0.0000 0.0000 0.5000 [3 per cell]